A plane-wave DFT calculation with PBE was carried out for Tm3ScPt2 after structural relaxation.

The structure in POSCAR format:
```
Tm3ScPt2
1.0
4.681 0.000 0.000
0.000 6.911 0.000
0.000 0.000 8.636
Tm Sc Pt
6 2 4
Cartesian
0.000 3.399 7.946 Tm
0.000 6.854 0.690 Tm
2.340 4.462 1.514 Tm
2.340 1.006 7.122 Tm
0.000 2.430 2.913 Tm
0.000 5.885 5.724 Tm
2.340 3.514 5.059 Sc
2.340 0.059 3.578 Sc
2.340 5.093 7.281 Pt
2.340 1.638 1.355 Pt
0.000 1.834 5.669 Pt
0.000 5.290 2.967 Pt
```

## Properties
Symmetry: No. 26
Calculated formation energy, kJ per mole of atoms: -94.2
Energy relative to the lowest polymorph listed for this composition, meV/atom: 0